# AcDyNiOs, optimized geometry, DFT PBE
# - theoretical density (Mg/m³) = 11.94
# - density of states at the Fermi level (states/eV/atom) = 0.76
# - ΔH_f (0 K) (eV/atom) = -0.04
data_AcDyNiOs
_space_group_name_H-M_alt 'F -4 3 m'
_space_group_IT_number 216
_space_group_name_Hall 'F -4 2 3'
_cell_length_a 7.083
_cell_length_b 7.083
_cell_length_c 7.083
_cell_angle_alpha 90.00
_cell_angle_beta 90.00
_cell_angle_gamma 90.00
loop_
_atom_site_label
_atom_site_fract_x
_atom_site_fract_y
_atom_site_fract_z
Ac1 0.000 0.000 0.000
Dy1 0.000 0.000 0.500
Ni1 0.250 0.250 0.250
Os1 0.250 0.250 0.750